Record 1
VASP calculation (PBE-GGA) on a relaxed Nd2Y2CCl2F3 crystal.

Its total energy is -6.35 eV per atom. Its magnetic moment is 0.001 μB per atom.

a b c (Å): 15.5746 3.5275 6.9486
angles (deg): 90.00 107.79 90.00
With the nearest neighbours (Å) after each atom.
Space group C2/m (No. 12)
Asymmetric unit:
Nd1 0.1694 0.0000 0.1661 [4 per cell]  3 F 2.53-2.59, 1 C 2.54
Y1 0.0196 0.5000 0.7761 [4 per cell]  3 F 2.36-2.55, 2 C 2.43
C1 0.0000 0.0000 0.0000 [2 per cell]  4 Y 2.43, 2 Nd 2.54
Cl1 0.1544 0.5000 0.4732 [4 per cell]  1 Y 2.73, 2 Nd 2.83, 3 F 2.96-3.03
F1 0.0000 0.0000 0.5000 [2 per cell]  4 Y 2.55
F2 0.1783 0.5000 0.9122 [4 per cell]  1 Y 2.36, 3 Nd 2.53-2.59

***

Record 2
VASP calculation (PBE-GGA) on a relaxed Pr4CCl2F3 crystal.

Its total energy is -5.99 eV per atom. Its magnetic moment is 0.029 μB per atom.

a b c (Å): 15.7051 3.7114 7.0549
angles (deg): 90.00 105.07 90.00
With the nearest neighbours (Å) after each atom.
Space group C2/m (No. 12)
Asymmetric unit:
Pr1 0.0263 0.0000 0.2707 [4 per cell]  3 F 2.47-2.62, 2 C 2.56
Pr2 0.1649 0.5000 0.6626 [4 per cell]  3 F 2.54-2.60, 1 C 2.55
C1 0.0000 0.5000 0.5000 [2 per cell]  6 Pr 2.55-2.56
Cl1 0.1559 0.0000 0.9677 [4 per cell]  3 Pr 2.87-2.92, 3 F 3.13-3.19
F1 0.0000 0.5000 0.0000 [2 per cell]  4 Pr 2.62
F2 0.1860 0.0000 0.4329 [4 per cell]  4 Pr 2.47-2.60, 2 F 2.72

***

Record 3
VASP calculation (PBE-GGA) on a relaxed Pr4CClF4 crystal.

Its total energy is -6.20 eV per atom. Its magnetic moment is 0.000 μB per atom.

a b c (Å): 15.1877 3.8022 7.8892
angles (deg): 90.00 118.05 90.00
With the nearest neighbours (Å) after each atom.
Space group C2/m (No. 12)
Asymmetric unit:
Pr1 0.0039 0.0000 0.2196 [4 per cell]  2 F 2.49-2.53, 2 C 2.55
Pr2 0.1830 0.5000 0.1623 [4 per cell]  5 F 2.44-2.60, 1 C 2.45
C1 0.0000 0.5000 0.0000 [2 per cell]  6 Pr 2.45-2.55
Cl1 0.0000 0.5000 0.5000 [2 per cell]  4 Pr 2.94
F1 0.1818 0.0000 0.9523 [4 per cell]  4 Pr 2.49-2.60, 2 F 2.65
F2 0.1920 0.0000 0.3629 [4 per cell]  3 Pr 2.44-2.53